1.
The following is a DFT calculation (GGA-PBE) of a relaxed structure of K2V2Cl7.

Cell and atoms, written as POSCAR:
```
K2V2Cl7
1.0
5.496 -3.891 0.000
5.496 3.891 0.000
-0.838 0.000 6.703
K V Cl
2 2 7
direct
0.232 0.768 0.000 K
0.768 0.232 0.000 K
0.239 0.239 0.528 V
0.761 0.761 0.472 V
0.000 0.000 0.500 Cl
0.058 0.493 0.278 Cl
0.434 0.434 0.696 Cl
0.493 0.058 0.278 Cl
0.507 0.942 0.722 Cl
0.566 0.566 0.304 Cl
0.942 0.507 0.722 Cl
```

## Properties
- DOS(E_F) (states/eV/cell) = 5.7
- formation energy from raw total energies (eV per formula unit) = -14.9
- total magnetic moment (μB per formula unit) = 5.00
- space group = No. 12
- excess energy over the best structure of this formula in the dataset (eV per atom) = 0.042


2.
The following is a DFT calculation (GGA-PBE) of a relaxed structure of RePd.

Cell and atoms, written as POSCAR:
```
RePd
1.0
6.907 0.000 0.000
0.000 6.907 0.000
0.000 0.000 6.907
Re Pd
6 6
direct
0.000 0.250 0.500 Re
0.000 0.750 0.500 Re
0.250 0.500 0.000 Re
0.500 0.000 0.250 Re
0.500 0.000 0.750 Re
0.750 0.500 0.000 Re
0.000 0.500 0.250 Pd
0.000 0.500 0.750 Pd
0.250 0.000 0.500 Pd
0.500 0.250 0.000 Pd
0.500 0.750 0.000 Pd
0.750 0.000 0.500 Pd
```

## Properties
- DOS(E_F) (states/eV/cell) = 16.7
- energy relative to the elements (meV per atom) = 2044
- total magnetic moment (μB per formula unit) = 0.00
- space group = No. 223
- excess energy over the best structure of this formula in the dataset (eV per atom) = 1.980


3.
The following is a DFT calculation (GGA-PBE) of a relaxed structure of AlZn2Tc.

Cell and atoms, written as POSCAR:
```
AlZn2Tc
1.0
2.703 0.000 0.000
0.000 2.703 0.000
0.000 0.000 8.225
Al Zn Tc
1 2 1
direct
0.000 0.000 0.000 Al
0.500 0.500 0.256 Zn
0.500 0.500 0.744 Zn
0.000 0.000 0.500 Tc
```

## Properties
- DOS(E_F) (states/eV/cell) = 3.2
- energy relative to the elements (meV per atom) = 152
- total magnetic moment (μB per formula unit) = 0.00
- space group = No. 123


4.
The following is a DFT calculation (GGA-PBE) of a relaxed structure of Li2Er2Tl.

Cell and atoms, written as POSCAR:
```
Li2Er2Tl
1.0
8.717 0.000 0.000
0.000 5.041 0.000
-2.913 0.000 5.177
Li Er Tl
4 4 2
direct
0.087 0.000 0.261 Li
0.413 0.500 0.739 Li
0.587 0.500 0.261 Li
0.913 0.000 0.739 Li
0.221 0.500 0.163 Er
0.279 0.000 0.837 Er
0.721 0.000 0.163 Er
0.779 0.500 0.837 Er
0.000 0.500 0.500 Tl
0.500 0.000 0.500 Tl
```

## Properties
- DOS(E_F) (states/eV/cell) = 9.1
- energy relative to the elements (meV per atom) = -49
- total magnetic moment (μB per formula unit) = 0.01
- space group = No. 12


Raw total energy, respectively: -4.3830, -6.7766, -4.0121, -3.1125 eV per atom.